No. 1
Density functional theory data (PBE) for a relaxed LaReAs2Os crystal.

Cell and atoms, written as extended XYZ:
```
5
Lattice="4.794 0.000 0.000 0.000 4.794 0.000 0.000 0.000 4.929" Properties=species:S:1:pos:R:3 pbc="T T T"
La 0.000 0.000 0.000
Re 2.397 2.397 2.465
As 0.000 2.397 2.465
As 2.397 0.000 2.465
Os 2.397 2.397 0.000
```

crystal system = tetragonal
energy of formation = 1.6 eV per formula unit
total energy = -7.27 eV per atom
space group = P4/mmm
mass density = 9.7 g cm⁻³


No. 2
Density functional theory data (PBE) for a relaxed LaAsOs2Ru crystal.

Cell and atoms, written as extended XYZ:
```
5
Lattice="4.778 0.000 0.000 0.000 4.778 0.000 0.000 0.000 5.222" Properties=species:S:1:pos:R:3 pbc="T T T"
La 0.000 0.000 0.000
As 0.000 0.000 2.611
Os 0.000 2.389 0.000
Os 2.389 0.000 0.000
Ru 2.389 2.389 2.611
```

crystal system = tetragonal
energy of formation = 13.9 eV per formula unit
total energy = -5.48 eV per atom
space group = P4/mmm
mass density = 9.7 g cm⁻³


No. 3
Density functional theory data (PBE) for a relaxed La2AsOsS crystal.

Cell and atoms, written as extended XYZ:
```
5
Lattice="5.431 0.000 0.000 0.000 5.431 0.000 0.000 0.000 4.572" Properties=species:S:1:pos:R:3 pbc="T T T"
La 0.000 2.716 0.000
La 2.716 0.000 0.000
As 0.000 0.000 2.286
Os 2.716 2.716 2.286
S 0.000 0.000 0.000
```

crystal system = tetragonal
formation energy (no corrections) = 67.2 meV/atom
total energy = -5.91 eV per atom
space group = P4/mmm
mass density = 7.1 g cm⁻³


No. 4
Density functional theory data (PBE) for a relaxed LaAsOsSe2 crystal.

Cell and atoms, written as extended XYZ:
```
5
Lattice="5.626 0.000 0.000 0.000 5.626 0.000 0.000 0.000 5.864" Properties=species:S:1:pos:R:3 pbc="T T T"
La 0.000 0.000 0.000
As 0.000 0.000 2.932
Os 2.813 2.813 2.932
Se 0.000 2.813 0.000
Se 2.813 0.000 0.000
```

crystal system = tetragonal
formation energy (no corrections) = 1287.9 meV/atom
total energy = -4.27 eV per atom
space group = P4/mmm
offset from the most stable computed form = 1655 meV per atom
mass density = 5.0 g cm⁻³


No. 5
Density functional theory data (PBE) for a relaxed LaAsOsSe2 crystal.

Cell and atoms, written as extended XYZ:
```
5
Lattice="5.169 0.000 0.000 0.000 5.169 0.000 0.000 0.000 4.559" Properties=species:S:1:pos:R:3 pbc="T T T"
La 0.000 0.000 0.000
As 2.585 2.585 0.000
Os 2.585 2.585 2.280
Se 0.000 2.585 2.280
Se 2.585 0.000 2.280
```

crystal system = tetragonal
formation energy (no corrections) = -367.3 meV/atom
total energy = -5.92 eV per atom
space group = P4/mmm
offset from the most stable computed form = 0 meV per atom
mass density = 7.7 g cm⁻³


No. 6
Density functional theory data (PBE) for a relaxed LaAsOs2W crystal.

Cell and atoms, written as extended XYZ:
```
5
Lattice="4.653 0.000 0.000 0.000 4.653 0.000 0.000 0.000 4.737" Properties=species:S:1:pos:R:3 pbc="T T T"
La 0.000 0.000 0.000
As 2.327 2.327 2.368
Os 0.000 2.327 2.368
Os 2.327 0.000 2.368
W 2.327 2.327 0.000
```

crystal system = tetragonal
energy of formation = 4.3 eV per formula unit
total energy = -8.13 eV per atom
space group = P4/mmm
mass density = 12.6 g cm⁻³


No. 7
Density functional theory data (PBE) for a relaxed LaYAs2Os crystal.

Cell and atoms, written as extended XYZ:
```
5
Lattice="5.202 0.000 0.000 0.000 5.202 0.000 0.000 0.000 6.102" Properties=species:S:1:pos:R:3 pbc="T T T"
La 0.000 0.000 0.000
Y 0.000 0.000 3.051
As 0.000 2.601 3.051
As 2.601 0.000 3.051
Os 2.601 2.601 0.000
```

crystal system = tetragonal
energy of formation = 6.5 eV per formula unit
total energy = -5.08 eV per atom
space group = P4/mmm
mass density = 5.7 g cm⁻³


No. 8
Density functional theory data (PBE) for a relaxed La8As3P4 crystal.

Cell and atoms, written as extended XYZ:
```
15
Lattice="6.078 -6.080 0.000 6.078 6.080 0.000 -6.055 0.000 6.081" Properties=species:S:1:pos:R:3 pbc="T T T"
La -0.019 0.000 2.951
La -3.098 0.000 6.051
La 6.078 3.127 0.000
La 3.051 3.065 3.041
La 3.051 -3.065 3.041
La 6.078 -3.127 0.000
La 9.200 0.000 0.030
La 6.120 0.000 3.130
As 0.012 3.040 3.041
As 0.012 -3.040 3.041
As 3.051 0.000 3.041
P 0.000 0.000 0.000
P -3.027 0.000 3.041
P 3.039 3.040 0.000
P 3.039 -3.040 0.000
```

crystal system = monoclinic
energy of formation = -22.0 eV per formula unit
total energy = -6.47 eV per atom
space group = C2/m
mass density = 5.4 g cm⁻³